The following is a DFT calculation (PBE) of an optimized crystal structure of Zn2HgRh.

a = 6.3560 Å, b = 6.3560 Å, c = 6.3560 Å
α = 90.00°, β = 90.00°, γ = 90.00°
Space group F-43m (No. 216)
Symmetry-distinct sites (fractional):
Zn: 0.0000 0.0000 0.0000 x4
Zn: 0.2500 0.2500 0.2500 x4
Hg: 0.0000 0.0000 0.5000 x4
Rh: 0.2500 0.2500 0.7500 x4

Summary:
The magnetic moment comes out at 0.00 μB per formula unit. The value obtained for the electronic total energy is -40.57 eV per cell. The volume is 16.0 Å³ per atom.